Entry 1:
Entry from the Alexandria database: an optimized crystal structure of CrAsCl2 (PBE).

Cell: 13.773 3.253 4.585 Å, 90.00 99.16 90.00°
Space group C2/m (No. 12)
One atom of each set of equivalent atoms:
Cr (0.000, 0.000, 0.000) (multiplicity 2)
As (0.000, 0.500, 0.500) (multiplicity 2)
Cl (0.137, 0.500, 0.196) (multiplicity 4)

DOS(E_F)   6.42 states/eV per cell
Calculated total energy   -4.77 eV/atom
Size of the total moment   0.870 μB/atom



Entry 2:
Entry from the Alexandria database: an optimized crystal structure of Cr2AsCl (PBE).

Cell: 3.302 3.905 5.946 Å, 90.00 90.00 90.00°
Space group Pmmm (No. 47)
One atom of each set of equivalent atoms:
Cr (0.000, 0.000, 0.000) (multiplicity 1)
Cr (0.000, 0.500, 0.500) (multiplicity 1)
As (0.500, 0.000, 0.500) (multiplicity 1)
Cl (0.500, 0.500, 0.000) (multiplicity 1)

DOS(E_F)   1.13 states/eV per cell
Calculated total energy   -6.28 eV/atom
Size of the total moment   2.011 μB/atom



Entry 3:
Entry from the Alexandria database: an optimized crystal structure of Cr2AsCl (PBE).

Cell: 3.695 6.244 6.999 Å, 90.00 90.00 90.00°
Space group Immm (No. 71)
One atom of each set of equivalent atoms:
Cr (0.000, 0.000, 0.241) (multiplicity 4)
As (0.000, 0.500, 0.500) (multiplicity 2)
Cl (0.000, 0.500, 0.000) (multiplicity 2)

DOS(E_F)   2.34 states/eV per cell
Calculated total energy   -6.31 eV/atom
Size of the total moment   1.998 μB/atom



Entry 4:
Entry from the Alexandria database: an optimized crystal structure of Cr2AsCl (PBE).

Cell: 6.548 6.548 7.931 Å, 90.00 90.00 90.00°
Space group I-42d (No. 122)
One atom of each set of equivalent atoms:
Cr (0.238, 0.250, 0.125) (multiplicity 8)
As (0.000, 0.000, 0.000) (multiplicity 4)
Cl (0.000, 0.000, 0.500) (multiplicity 4)

DOS(E_F)   0.43 states/eV per cell
Calculated total energy   -6.40 eV/atom
Size of the total moment   2.000 μB/atom



Entry 5:
Entry from the Alexandria database: an optimized crystal structure of CrAsCl2 (PBE).

Cell: 3.3052 3.3052 32.6899 Å, 90.00 90.00 120.00°
Space group R-3m (No. 166, hexagonal axes)
One atom of each set of equivalent atoms:
Cr (0.0000, 0.0000, 0.0000) (multiplicity 3)
As (0.0000, 0.0000, 0.5000) (multiplicity 3)
Cl (0.0000, 0.0000, 0.3800) (multiplicity 6)

DOS(E_F)   15.31 states/eV per cell
Calculated total energy   -4.67 eV/atom
Size of the total moment   0.960 μB/atom



Entry 6:
Entry from the Alexandria database: an optimized crystal structure of CrAsCl (PBE).

Cell: 6.130 6.130 6.130 Å, 90.00 90.00 90.00°
Space group F-43m (No. 216)
One atom of each set of equivalent atoms:
Cr (0.000, 0.000, 0.000) (multiplicity 4)
As (0.250, 0.250, 0.250) (multiplicity 4)
Cl (0.250, 0.250, 0.750) (multiplicity 4)

DOS(E_F)   4.97 states/eV per cell
Calculated total energy   -5.31 eV/atom
Size of the total moment   0.778 μB/atom



Entry 7:
Entry from the Alexandria database: an optimized crystal structure of CrAsCl2 (PBE).

Cell: 6.350 7.617 3.250 Å, 90.00 90.00 90.00°
Space group Cmmm (No. 65)
One atom of each set of equivalent atoms:
Cr (0.000, 0.000, 0.000) (multiplicity 2)
As (0.000, 0.500, 0.000) (multiplicity 2)
Cl (0.250, 0.250, 0.500) (multiplicity 4)

DOS(E_F)   5.35 states/eV per cell
Calculated total energy   -4.14 eV/atom
Size of the total moment   1.063 μB/atom



Entry 8:
Entry from the Alexandria database: an optimized crystal structure of Cr2AsCl (PBE).

Cell: 3.264 3.264 7.257 Å, 90.00 90.00 90.00°
Space group P4mm (No. 99)
One atom of each set of equivalent atoms:
Cr (0.000, 0.000, 0.000) (multiplicity 1)
Cr (0.500, 0.500, 0.192) (multiplicity 1)
As (0.000, 0.000, 0.358) (multiplicity 1)
Cl (0.500, 0.500, 0.820) (multiplicity 1)

DOS(E_F)   2.96 states/eV per cell
Calculated total energy   -6.51 eV/atom
Size of the total moment   0.260 μB/atom



Entry 9:
Entry from the Alexandria database: an optimized crystal structure of Cr2AsCl (PBE).

Cell: 7.179 6.954 3.345 Å, 90.00 113.89 90.00°
Space group C2/m (No. 12)
One atom of each set of equivalent atoms:
Cr (0.250, 0.250, 0.000) (multiplicity 4)
As (0.000, 0.000, 0.500) (multiplicity 2)
Cl (0.000, 0.500, 0.500) (multiplicity 2)

DOS(E_F)   3.71 states/eV per cell
Calculated total energy   -6.29 eV/atom
Size of the total moment   2.033 μB/atom



Entry 10:
Entry from the Alexandria database: an optimized crystal structure of CrHgAsCl6 (PBE).

Cell: 6.2817 6.2817 9.3809 Å, 90.00 90.00 120.00°
Space group P312 (No. 149)
One atom of each set of equivalent atoms:
Cr (0.0000, 0.0000, 0.0000) (multiplicity 1)
Hg (0.3333, 0.6667, 0.5000) (multiplicity 1)
As (0.6667, 0.3333, 0.0000) (multiplicity 1)
Cl (0.3144, 0.0183, 0.8531) (multiplicity 6)

Calculated total energy   -3.61 eV/atom
Size of the total moment   0.326 μB/atom



Entry 11:
Entry from the Alexandria database: an optimized crystal structure of K2CrAsCl (PBE).

Cell: 6.500 6.500 4.457 Å, 90.00 90.00 90.00°
Space group P4/mmm (No. 123)
One atom of each set of equivalent atoms:
K (0.000, 0.500, 0.000) (multiplicity 2)
Cr (0.000, 0.000, 0.000) (multiplicity 1)
As (0.500, 0.500, 0.500) (multiplicity 1)
Cl (0.000, 0.000, 0.500) (multiplicity 1)

DOS(E_F)   4.71 states/eV per cell
Calculated total energy   -3.50 eV/atom
Size of the total moment   1.076 μB/atom



Entry 12:
Entry from the Alexandria database: an optimized crystal structure of Mg2CrAsCl (PBE).

Cell: 4.972 4.972 4.584 Å, 90.00 90.00 90.00°
Space group P4/mmm (No. 123)
One atom of each set of equivalent atoms:
Mg (0.000, 0.500, 0.000) (multiplicity 2)
Cr (0.000, 0.000, 0.500) (multiplicity 1)
As (0.500, 0.500, 0.500) (multiplicity 1)
Cl (0.000, 0.000, 0.000) (multiplicity 1)

DOS(E_F)   2.95 states/eV per cell
Calculated total energy   -3.58 eV/atom
Size of the total moment   0.881 μB/atom



Entry 13:
Entry from the Alexandria database: an optimized crystal structure of CrNiAsCl2 (PBE).

Cell: 4.338 4.338 5.289 Å, 90.00 90.00 90.00°
Space group P4/mmm (No. 123)
One atom of each set of equivalent atoms:
Cr (0.000, 0.000, 0.000) (multiplicity 1)
Ni (0.500, 0.500, 0.500) (multiplicity 1)
As (0.000, 0.000, 0.500) (multiplicity 1)
Cl (0.000, 0.500, 0.000) (multiplicity 2)

DOS(E_F)   8.82 states/eV per cell
Calculated total energy   -4.26 eV/atom
Size of the total moment   0.206 μB/atom



Entry 14:
Entry from the Alexandria database: an optimized crystal structure of CrAsP2Cl (PBE).

Cell: 4.629 4.629 4.517 Å, 90.00 90.00 90.00°
Space group P4/mmm (No. 123)
One atom of each set of equivalent atoms:
Cr (0.000, 0.000, 0.000) (multiplicity 1)
As (0.500, 0.500, 0.500) (multiplicity 1)
P (0.000, 0.500, 0.000) (multiplicity 2)
Cl (0.000, 0.000, 0.500) (multiplicity 1)

DOS(E_F)   2.38 states/eV per cell
Calculated total energy   -4.92 eV/atom
Size of the total moment   0.492 μB/atom



Entry 15:
Entry from the Alexandria database: an optimized crystal structure of CrAsS2Cl (PBE).

Cell: 4.685 4.685 4.529 Å, 90.00 90.00 90.00°
Space group P4/mmm (No. 123)
One atom of each set of equivalent atoms:
Cr (0.000, 0.000, 0.000) (multiplicity 1)
As (0.500, 0.500, 0.500) (multiplicity 1)
S (0.000, 0.500, 0.000) (multiplicity 2)
Cl (0.000, 0.000, 0.500) (multiplicity 1)

DOS(E_F)   3.37 states/eV per cell
Calculated total energy   -4.71 eV/atom
Size of the total moment   0.712 μB/atom